Nd8CoCu2 | PBE-GGA | optimized geometry

```
11
Lattice="8.825 -2.580 0.000 8.825 2.580 0.000 -1.396 0.000 6.748" Properties=species:S:1:pos:R:3 pbc="T T T"
Nd 0.148 0.000 1.948
Nd 2.390 0.000 5.616
Nd 5.248 0.000 3.578
Nd 7.187 0.000 0.409
Nd 9.066 0.000 6.339
Nd 11.005 0.000 3.170
Nd 13.863 0.000 1.132
Nd 16.105 0.000 4.800
Co 8.127 0.000 3.374
Cu 3.070 0.000 1.620
Cu 13.184 0.000 5.128
```

Output
The final energy comes out at -4.88 eV per atom. As for the density of states at the Fermi level: 11.88 states/eV/f.u. As for the density: 7.2 g/cm³.